# PBE CsIrI2O, optimized geometry
# - Electronic total energy: -20.296 eV per cell
# - Excess energy over the best structure of this formula in the dataset: 0.000 eV/atom
# - Raw formation energy: -0.50 eV/atom
# - Total moment: 0.00 μB per formula unit
data_CsIrI2O
_symmetry_space_group_name_H-M 'P 4/m m m'
_symmetry_Int_Tables_number 123
_symmetry_space_group_name_Hall '-P 4 2'
_cell_length_a 6.116
_cell_length_b 6.116
_cell_length_c 3.821
_cell_angle_alpha 90.00
_cell_angle_beta 90.00
_cell_angle_gamma 90.00
loop_
_atom_site_label
_atom_site_type_symbol
_atom_site_fract_x
_atom_site_fract_y
_atom_site_fract_z
_atom_site_occupancy
Cs1 Cs 0.000 0.000 0.000 1
Ir1 Ir 0.500 0.500 0.500 1
I1 I 0.000 0.500 0.500 1
O1 O 0.500 0.500 0.000 1

# PBE CsIrPdI6, optimized geometry
# - Electronic total energy: -27.674 eV per cell
# - Raw formation energy: -0.39 eV/atom
# - Total moment: 0.00 μB per formula unit
data_CsIrPdI6
_symmetry_space_group_name_H-M 'P 1'
_symmetry_Int_Tables_number 1
_symmetry_space_group_name_Hall 'P 1'
_cell_length_a 7.071
_cell_length_b 7.078
_cell_length_c 8.722
_cell_angle_alpha 92.39
_cell_angle_beta 92.83
_cell_angle_gamma 114.13
loop_
_atom_site_label
_atom_site_type_symbol
_atom_site_fract_x
_atom_site_fract_y
_atom_site_fract_z
_atom_site_occupancy
Cs1 Cs 0.000 0.000 0.000 1
Ir1 Ir 0.622 0.376 0.499 1
Pd1 Pd 0.285 0.713 0.500 1
I1 I 0.323 0.420 0.319 1
I2 I 0.332 0.073 0.643 1
I3 I 0.580 0.674 0.680 1
I4 I 0.623 0.088 0.288 1
I5 I 0.913 0.374 0.711 1
I6 I 0.925 0.667 0.356 1

# PBE CsRb2IrI6, optimized geometry
# - Electronic total energy: -117.594 eV per cell
# - Raw formation energy: -0.84 eV/atom
# - Total moment: 0.00 μB per formula unit
data_CsRb2IrI6
_symmetry_space_group_name_H-M 'F m -3 m'
_symmetry_Int_Tables_number 225
_symmetry_space_group_name_Hall '-F 4 2 3'
_cell_length_a 12.495
_cell_length_b 12.495
_cell_length_c 12.495
_cell_angle_alpha 90.00
_cell_angle_beta 90.00
_cell_angle_gamma 90.00
loop_
_atom_site_label
_atom_site_type_symbol
_atom_site_fract_x
_atom_site_fract_y
_atom_site_fract_z
_atom_site_occupancy
Cs1 Cs 0.000 0.000 0.000 1
Rb1 Rb 0.250 0.250 0.250 1
Ir1 Ir 0.000 0.000 0.500 1
I1 I 0.000 0.000 0.285 1

# PBE Cs2IrRuI, optimized geometry
# - Electronic total energy: -15.373 eV per cell
# - Raw formation energy: 1.20 eV/atom
# - Total moment: 3.20 μB per formula unit
data_Cs2IrRuI
_symmetry_space_group_name_H-M 'P 4/m m m'
_symmetry_Int_Tables_number 123
_symmetry_space_group_name_Hall '-P 4 2'
_cell_length_a 6.964
_cell_length_b 6.964
_cell_length_c 4.949
_cell_angle_alpha 90.00
_cell_angle_beta 90.00
_cell_angle_gamma 90.00
loop_
_atom_site_label
_atom_site_type_symbol
_atom_site_fract_x
_atom_site_fract_y
_atom_site_fract_z
_atom_site_occupancy
Cs1 Cs 0.000 0.500 0.000 1
Ir1 Ir 0.000 0.000 0.000 1
Ru1 Ru 0.500 0.500 0.500 1
I1 I 0.000 0.000 0.500 1

# PBE CsIrS2I, optimized geometry
# - Electronic total energy: -9.635 eV per cell
# - Raw formation energy: 1.98 eV/atom
# - Total moment: 3.46 μB per formula unit
data_CsIrS2I
_symmetry_space_group_name_H-M 'P 4/m m m'
_symmetry_Int_Tables_number 123
_symmetry_space_group_name_Hall '-P 4 2'
_cell_length_a 5.395
_cell_length_b 5.395
_cell_length_c 5.768
_cell_angle_alpha 90.00
_cell_angle_beta 90.00
_cell_angle_gamma 90.00
loop_
_atom_site_label
_atom_site_type_symbol
_atom_site_fract_x
_atom_site_fract_y
_atom_site_fract_z
_atom_site_occupancy
Cs1 Cs 0.000 0.000 0.000 1
Ir1 Ir 0.000 0.000 0.500 1
S1 S 0.000 0.500 0.000 1
I1 I 0.500 0.500 0.500 1

# PBE Cs2SbIrI6, optimized geometry
# - Electronic total energy: -59.656 eV per cell
# - Raw formation energy: -0.58 eV/atom
# - Total moment: 0.00 μB per formula unit
data_Cs2SbIrI6
_symmetry_space_group_name_H-M 'I 4/m m m'
_symmetry_Int_Tables_number 139
_symmetry_space_group_name_Hall '-I 4 2'
_cell_length_a 8.309
_cell_length_b 8.309
_cell_length_c 11.805
_cell_angle_alpha 90.00
_cell_angle_beta 90.00
_cell_angle_gamma 90.00
loop_
_atom_site_label
_atom_site_type_symbol
_atom_site_fract_x
_atom_site_fract_y
_atom_site_fract_z
_atom_site_occupancy
Cs1 Cs 0.000 0.500 0.250 1
Sb1 Sb 0.000 0.000 0.000 1
Ir1 Ir 0.000 0.000 0.500 1
I1 I 0.000 0.000 0.266 1
I2 I 0.235 0.235 0.500 1

# PBE Cs2SnIrI6, optimized geometry
# - Electronic total energy: -61.093 eV per cell
# - Raw formation energy: -0.67 eV/atom
# - Total moment: 0.00 μB per formula unit
data_Cs2SnIrI6
_symmetry_space_group_name_H-M 'I 4/m m m'
_symmetry_Int_Tables_number 139
_symmetry_space_group_name_Hall '-I 4 2'
_cell_length_a 8.349
_cell_length_b 8.349
_cell_length_c 11.834
_cell_angle_alpha 90.00
_cell_angle_beta 90.00
_cell_angle_gamma 90.00
loop_
_atom_site_label
_atom_site_type_symbol
_atom_site_fract_x
_atom_site_fract_y
_atom_site_fract_z
_atom_site_occupancy
Cs1 Cs 0.000 0.500 0.250 1
Sn1 Sn 0.000 0.000 0.000 1
Ir1 Ir 0.000 0.000 0.500 1
I1 I 0.000 0.000 0.267 1
I2 I 0.233 0.233 0.500 1

# PBE CsSnIrI2, optimized geometry
# - Electronic total energy: -10.835 eV per cell
# - Raw formation energy: 1.20 eV/atom
# - Total moment: 0.96 μB per formula unit
data_CsSnIrI2
_symmetry_space_group_name_H-M 'P 4/m m m'
_symmetry_Int_Tables_number 123
_symmetry_space_group_name_Hall '-P 4 2'
_cell_length_a 6.789
_cell_length_b 6.789
_cell_length_c 5.295
_cell_angle_alpha 90.00
_cell_angle_beta 90.00
_cell_angle_gamma 90.00
loop_
_atom_site_label
_atom_site_type_symbol
_atom_site_fract_x
_atom_site_fract_y
_atom_site_fract_z
_atom_site_occupancy
Cs1 Cs 0.000 0.000 0.000 1
Sn1 Sn 0.500 0.500 0.500 1
Ir1 Ir 0.000 0.000 0.500 1
I1 I 0.000 0.500 0.000 1

# PBE CsTe2IrI, optimized geometry
# - Electronic total energy: -8.040 eV per cell
# - Excess energy over the best structure of this formula in the dataset: 2.049 eV/atom
# - Raw formation energy: 1.90 eV/atom
# - Total moment: 5.32 μB per formula unit
data_CsTe2IrI
_symmetry_space_group_name_H-M 'P 4/m m m'
_symmetry_Int_Tables_number 123
_symmetry_space_group_name_Hall '-P 4 2'
_cell_length_a 6.264
_cell_length_b 6.264
_cell_length_c 6.756
_cell_angle_alpha 90.00
_cell_angle_beta 90.00
_cell_angle_gamma 90.00
loop_
_atom_site_label
_atom_site_type_symbol
_atom_site_fract_x
_atom_site_fract_y
_atom_site_fract_z
_atom_site_occupancy
Cs1 Cs 0.000 0.000 0.000 1
Te1 Te 0.000 0.500 0.000 1
Ir1 Ir 0.500 0.500 0.500 1
I1 I 0.000 0.000 0.500 1

# PBE CsTeIrI2, optimized geometry
# - Electronic total energy: -8.350 eV per cell
# - Excess energy over the best structure of this formula in the dataset: 1.812 eV/atom
# - Raw formation energy: 1.52 eV/atom
# - Total moment: 6.06 μB per formula unit
data_CsTeIrI2
_symmetry_space_group_name_H-M 'P 4/m m m'
_symmetry_Int_Tables_number 123
_symmetry_space_group_name_Hall '-P 4 2'
_cell_length_a 7.220
_cell_length_b 7.220
_cell_length_c 7.233
_cell_angle_alpha 90.00
_cell_angle_beta 90.00
_cell_angle_gamma 90.00
loop_
_atom_site_label
_atom_site_type_symbol
_atom_site_fract_x
_atom_site_fract_y
_atom_site_fract_z
_atom_site_occupancy
Cs1 Cs 0.000 0.000 0.000 1
Te1 Te 0.000 0.000 0.500 1
Ir1 Ir 0.500 0.500 0.500 1
I1 I 0.000 0.500 0.000 1

# PBE CsTeIrI2, optimized geometry
# - Electronic total energy: -17.411 eV per cell
# - Excess energy over the best structure of this formula in the dataset: 0.000 eV/atom
# - Raw formation energy: -0.29 eV/atom
# - Total moment: 0.00 μB per formula unit
data_CsTeIrI2
_symmetry_space_group_name_H-M 'P 4/m m m'
_symmetry_Int_Tables_number 123
_symmetry_space_group_name_Hall '-P 4 2'
_cell_length_a 5.903
_cell_length_b 5.903
_cell_length_c 5.102
_cell_angle_alpha 90.00
_cell_angle_beta 90.00
_cell_angle_gamma 90.00
loop_
_atom_site_label
_atom_site_type_symbol
_atom_site_fract_x
_atom_site_fract_y
_atom_site_fract_z
_atom_site_occupancy
Cs1 Cs 0.000 0.000 0.000 1
Te1 Te 0.500 0.500 0.000 1
Ir1 Ir 0.500 0.500 0.500 1
I1 I 0.000 0.500 0.500 1

# PBE CsTe2IrI, optimized geometry
# - Electronic total energy: -18.284 eV per cell
# - Excess energy over the best structure of this formula in the dataset: 0.000 eV/atom
# - Raw formation energy: -0.15 eV/atom
# - Total moment: 0.00 μB per formula unit
data_CsTe2IrI
_symmetry_space_group_name_H-M 'P 4/m m m'
_symmetry_Int_Tables_number 123
_symmetry_space_group_name_Hall '-P 4 2'
_cell_length_a 5.344
_cell_length_b 5.344
_cell_length_c 5.977
_cell_angle_alpha 90.00
_cell_angle_beta 90.00
_cell_angle_gamma 90.00
loop_
_atom_site_label
_atom_site_type_symbol
_atom_site_fract_x
_atom_site_fract_y
_atom_site_fract_z
_atom_site_occupancy
Cs1 Cs 0.000 0.000 0.000 1
Te1 Te 0.000 0.500 0.500 1
Ir1 Ir 0.500 0.500 0.500 1
I1 I 0.500 0.500 0.000 1

# PBE Cs2VIrI6, optimized geometry
# - Electronic total energy: -68.727 eV per cell
# - Raw formation energy: -0.54 eV/atom
# - Total moment: 4.00 μB per formula unit
data_Cs2VIrI6
_symmetry_space_group_name_H-M 'I 4/m m m'
_symmetry_Int_Tables_number 139
_symmetry_space_group_name_Hall '-I 4 2'
_cell_length_a 8.079
_cell_length_b 8.079
_cell_length_c 11.400
_cell_angle_alpha 90.00
_cell_angle_beta 90.00
_cell_angle_gamma 90.00
loop_
_atom_site_label
_atom_site_type_symbol
_atom_site_fract_x
_atom_site_fract_y
_atom_site_fract_z
_atom_site_occupancy
Cs1 Cs 0.000 0.500 0.250 1
V1 V 0.000 0.000 0.000 1
Ir1 Ir 0.000 0.000 0.500 1
I1 I 0.000 0.000 0.256 1
I2 I 0.244 0.244 0.500 1

# PBE Cs2YIrI6, optimized geometry
# - Electronic total energy: -140.588 eV per cell
# - Raw formation energy: -0.88 eV/atom
# - Total moment: 2.00 μB per formula unit
data_Cs2YIrI6
_symmetry_space_group_name_H-M 'F m -3 m'
_symmetry_Int_Tables_number 225
_symmetry_space_group_name_Hall '-F 4 2 3'
_cell_length_a 11.834
_cell_length_b 11.834
_cell_length_c 11.834
_cell_angle_alpha 90.00
_cell_angle_beta 90.00
_cell_angle_gamma 90.00
loop_
_atom_site_label
_atom_site_type_symbol
_atom_site_fract_x
_atom_site_fract_y
_atom_site_fract_z
_atom_site_occupancy
Cs1 Cs 0.250 0.250 0.250 1
Y1 Y 0.000 0.000 0.000 1
Ir1 Ir 0.000 0.000 0.500 1
I1 I 0.000 0.000 0.258 1

# PBE Cs2ZnIrI6, optimized geometry
# - Electronic total energy: -55.161 eV per cell
# - Raw formation energy: -0.64 eV/atom
# - Total moment: 0.00 μB per formula unit
data_Cs2ZnIrI6
_symmetry_space_group_name_H-M 'I 4/m m m'
_symmetry_Int_Tables_number 139
_symmetry_space_group_name_Hall '-I 4 2'
_cell_length_a 8.512
_cell_length_b 8.512
_cell_length_c 10.960
_cell_angle_alpha 90.00
_cell_angle_beta 90.00
_cell_angle_gamma 90.00
loop_
_atom_site_label
_atom_site_type_symbol
_atom_site_fract_x
_atom_site_fract_y
_atom_site_fract_z
_atom_site_occupancy
Cs1 Cs 0.000 0.500 0.250 1
Zn1 Zn 0.000 0.000 0.000 1
Ir1 Ir 0.000 0.000 0.500 1
I1 I 0.000 0.000 0.244 1
I2 I 0.225 0.225 0.500 1

# PBE Cs5K2I, optimized geometry
# - Electronic total energy: -42.651 eV per cell
# - Raw formation energy: -0.33 eV/atom
# - Total moment: 0.00 μB per formula unit
data_Cs5K2I
_symmetry_space_group_name_H-M 'C m c m'
_symmetry_Int_Tables_number 63
_symmetry_space_group_name_Hall '-C 2c 2'
_cell_length_a 8.212
_cell_length_b 15.749
_cell_length_c 23.327
_cell_angle_alpha 90.00
_cell_angle_beta 90.00
_cell_angle_gamma 90.00
loop_
_atom_site_label
_atom_site_type_symbol
_atom_site_fract_x
_atom_site_fract_y
_atom_site_fract_z
_atom_site_occupancy
Cs1 Cs 0.000 0.086 0.126 1
Cs2 Cs 0.000 0.250 0.750 1
Cs3 Cs 0.000 0.414 0.126 1
K1 K 0.000 0.249 0.548 1
I1 I 0.000 0.251 0.250 1

# PBE Cs3KI, optimized geometry
# - Electronic total energy: -32.054 eV per cell
# - Excess energy over the best structure of this formula in the dataset: 0.016 eV/atom
# - Raw formation energy: -0.56 eV/atom
# - Total moment: 0.00 μB per formula unit
data_Cs3KI
_symmetry_space_group_name_H-M 'C 1 2/m 1'
_symmetry_Int_Tables_number 12
_symmetry_space_group_name_Hall '-C 2y'
_cell_length_a 18.075
_cell_length_b 10.449
_cell_length_c 11.135
_cell_angle_alpha 90.00
_cell_angle_beta 122.59
_cell_angle_gamma 90.00
loop_
_atom_site_label
_atom_site_type_symbol
_atom_site_fract_x
_atom_site_fract_y
_atom_site_fract_z
_atom_site_occupancy
Cs1 Cs 0.089 0.000 0.266 1
Cs2 Cs 0.162 0.251 0.734 1
K1 K 0.089 0.500 0.266 1
I1 I 0.167 0.000 0.001 1

# PBE CsKI2, optimized geometry
# - Electronic total energy: -43.406 eV per cell
# - Excess energy over the best structure of this formula in the dataset: 0.060 eV/atom
# - Raw formation energy: -1.45 eV/atom
# - Total moment: 0.00 μB per formula unit
data_CsKI2
_symmetry_space_group_name_H-M 'F m -3 m'
_symmetry_Int_Tables_number 225
_symmetry_space_group_name_Hall '-F 4 2 3'
_cell_length_a 9.033
_cell_length_b 9.033
_cell_length_c 9.033
_cell_angle_alpha 90.00
_cell_angle_beta 90.00
_cell_angle_gamma 90.00
loop_
_atom_site_label
_atom_site_type_symbol
_atom_site_fract_x
_atom_site_fract_y
_atom_site_fract_z
_atom_site_occupancy
Cs1 Cs 0.000 0.000 0.000 1
K1 K 0.000 0.000 0.500 1
I1 I 0.250 0.250 0.250 1

# PBE CsK2I, optimized geometry
# - Electronic total energy: -28.408 eV per cell
# - Excess energy over the best structure of this formula in the dataset: 0.043 eV/atom
# - Raw formation energy: -0.63 eV/atom
# - Total moment: 0.00 μB per formula unit
data_CsK2I
_symmetry_space_group_name_H-M 'I -4 2 d'
_symmetry_Int_Tables_number 122
_symmetry_space_group_name_Hall 'I -4 2bw'
_cell_length_a 12.233
_cell_length_b 12.233
_cell_length_c 7.769
_cell_angle_alpha 90.00
_cell_angle_beta 90.00
_cell_angle_gamma 90.00
loop_
_atom_site_label
_atom_site_type_symbol
_atom_site_fract_x
_atom_site_fract_y
_atom_site_fract_z
_atom_site_occupancy
Cs1 Cs 0.000 0.000 0.000 1
K1 K 0.144 0.750 0.625 1
I1 I 0.000 0.000 0.500 1

# PBE CsK2I3, optimized geometry
# - Electronic total energy: -64.871 eV per cell
# - Excess energy over the best structure of this formula in the dataset: 0.073 eV/atom
# - Raw formation energy: -1.42 eV/atom
# - Total moment: 0.00 μB per formula unit
data_CsK2I3
_symmetry_space_group_name_H-M 'C m c m'
_symmetry_Int_Tables_number 63
_symmetry_space_group_name_Hall '-C 2c 2'
_cell_length_a 5.734
_cell_length_b 17.531
_cell_length_c 12.246
_cell_angle_alpha 90.00
_cell_angle_beta 90.00
_cell_angle_gamma 90.00
loop_
_atom_site_label
_atom_site_type_symbol
_atom_site_fract_x
_atom_site_fract_y
_atom_site_fract_z
_atom_site_occupancy
Cs1 Cs 0.000 0.237 0.250 1
K1 K 0.000 0.000 0.000 1
K2 K 0.000 0.493 0.250 1
I1 I 0.000 0.104 0.750 1
I2 I 0.000 0.373 0.551 1